(1)
# LaCo2Hg

A relaxed structure of LaCo2Hg (PBE, the Alexandria database).

Output
For the magnetization, the calculation gives 12.0 Bohr magnetons per cell. As for the formation energy from the elements: 0.385 eV per atom. The volume comes out at 325 Å³/cell.

Lattice parameters (Å, degrees): 6.8781 6.8781 6.8781 90.00 90.00 90.00
Space group F-43m (No. 216)
Inequivalent atoms, fractional coordinates:
La  0.0000  0.0000  0.0000 [4 per cell]
Co  0.0000  0.0000  0.5000 [4 per cell]
Co  0.2500  0.2500  0.7500 [4 per cell]
Hg  0.2500  0.2500  0.2500 [4 per cell]

***

(2)
# HoMgP2O8

A relaxed structure of HoMgP2O8 (PBE, the Alexandria database).

Output
As for the energy relative to the elements, uncorrected: -2.513 eV per atom. For the magnetization, the calculation gives 0.9 Bohr magnetons per cell. The volume comes out at 151 Å³/cell.

Lattice parameters (Å, degrees): 5.1425 5.1425 6.5743 90.00 90.00 120.00
Space group P-3m1 (No. 164)
Inequivalent atoms, fractional coordinates:
Ho  0.0000  0.0000  0.0000 [1 per cell]
Mg  0.0000  0.0000  0.5000 [1 per cell]
P  0.3333  0.6667  0.2126 [2 per cell]
O  0.1686  0.3373  0.2858 [6 per cell]
O  0.3333  0.6667  0.9778 [2 per cell]

***

(3)
# HgSe2BrF

A relaxed structure of HgSe2BrF (PBE, the Alexandria database).

Output
The polymorph energy (0 for the lowest one) comes out at 331 meV/atom. As for the energy relative to the elements, uncorrected: 0.492 eV per atom. For the magnetization, the calculation gives 3.5 Bohr magnetons per cell. The volume comes out at 159 Å³/cell.

Lattice parameters (Å, degrees): 5.4054 5.4054 5.4483 90.00 90.00 90.00
Space group P4/mmm (No. 123)
Inequivalent atoms, fractional coordinates:
Hg  0.0000  0.0000  0.0000 [1 per cell]
Se  0.0000  0.5000  0.0000 [2 per cell]
Br  0.0000  0.0000  0.5000 [1 per cell]
F  0.5000  0.5000  0.5000 [1 per cell]

***

(4)
# NaY2FeSe

A relaxed structure of NaY2FeSe (PBE, the Alexandria database).

Output
As for the energy relative to the elements, uncorrected: 0.075 eV per atom. For the magnetization, the calculation gives 0.4 Bohr magnetons per cell. The volume comes out at 129 Å³/cell.

Lattice parameters (Å, degrees): 5.0052 5.0052 5.1461 90.00 90.00 90.00
Space group P4/mmm (No. 123)
Inequivalent atoms, fractional coordinates:
Na  0.0000  0.0000  0.0000 [1 per cell]
Y  0.0000  0.5000  0.5000 [2 per cell]
Fe  0.0000  0.0000  0.5000 [1 per cell]
Se  0.5000  0.5000  0.0000 [1 per cell]

***

> The highest magnetization belongs to which entry?

LaCo2Hg

***

What did the fourth record say?
# NaY2FeSe

A relaxed structure of NaY2FeSe (PBE, the Alexandria database).

Output
As for the energy relative to the elements, uncorrected: 0.075 eV per atom. For the magnetization, the calculation gives 0.4 Bohr magnetons per cell. The volume comes out at 129 Å³/cell.

Lattice parameters (Å, degrees): 5.0052 5.0052 5.1461 90.00 90.00 90.00
Space group P4/mmm (No. 123)
Inequivalent atoms, fractional coordinates:
Na  0.0000  0.0000  0.0000 [1 per cell]
Y  0.0000  0.5000  0.5000 [2 per cell]
Fe  0.0000  0.0000  0.5000 [1 per cell]
Se  0.5000  0.5000  0.0000 [1 per cell]

***

> What is the formula in the first record?

LaCo2Hg